# 1
DFT (PBE-GGA) results for a relaxed structure of MnRe2Hg.

Cell and atoms, written as CIF:
```
data_MnRe2Hg
_chemical_formula_sum 'Mn3 Re6 Hg3'
_cell_length_a 2.8641
_cell_length_b 2.8641
_cell_length_c 27.6463
_cell_angle_alpha 90.00
_cell_angle_beta 90.00
_cell_angle_gamma 120.00
_space_group_name_H-M_alt 'R 3 m'
_space_group_IT_number 160
_space_group_name_Hall 'R 3 -2"'
loop_
_atom_site_label
_atom_site_type_symbol
_atom_site_fract_x
_atom_site_fract_y
_atom_site_fract_z
Mn1 Mn 0.0000 0.0000 0.0000
Re1 Re 0.0000 0.0000 0.2548
Re2 Re 0.0000 0.0000 0.5134
Hg1 Hg 0.0000 0.0000 0.7537
```

Summary:
Raw total energy: -8.2418 eV/atom
Energy of formation: 350 meV per atom
Theoretical density: 15928 kg/m³

# 2
DFT (PBE-GGA) results for a relaxed structure of Os7C6.

Cell and atoms, written as CIF:
```
data_Os7C6
_chemical_formula_sum 'Os21 C18'
_cell_length_a 5.5972
_cell_length_b 5.5972
_cell_length_c 19.1718
_cell_angle_alpha 90.00
_cell_angle_beta 90.00
_cell_angle_gamma 120.00
_space_group_name_H-M_alt 'R -3 m'
_space_group_IT_number 166
_space_group_name_Hall '-R 3 2"'
loop_
_atom_site_label
_atom_site_type_symbol
_atom_site_fract_x
_atom_site_fract_y
_atom_site_fract_z
Os1 Os 0.0000 0.0000 0.0000
Os2 Os 0.0198 0.5099 0.4293
C1 C 0.0000 0.0000 0.1569
C2 C 0.0000 0.0000 0.3162
C3 C 0.0000 0.0000 0.3880
```

Summary:
Raw total energy: -8.6760 eV/atom
Energy of formation: 1628 meV per atom
Theoretical density: 13443 kg/m³

# 3
DFT (PBE-GGA) results for a relaxed structure of HoPaZnSi.

Cell and atoms, written as CIF:
```
data_HoPaZnSi
_chemical_formula_sum 'Ho4 Pa4 Zn4 Si4'
_cell_length_a 7.0120
_cell_length_b 7.0120
_cell_length_c 7.0120
_cell_angle_alpha 90.00
_cell_angle_beta 90.00
_cell_angle_gamma 90.00
_space_group_name_H-M_alt 'F -4 3 m'
_space_group_IT_number 216
_space_group_name_Hall 'F -4 2 3'
loop_
_atom_site_label
_atom_site_type_symbol
_atom_site_fract_x
_atom_site_fract_y
_atom_site_fract_z
Ho1 Ho 0.0000 0.0000 0.0000
Pa1 Pa 0.0000 0.0000 0.5000
Zn1 Zn 0.2500 0.2500 0.2500
Si1 Si 0.2500 0.2500 0.7500
```

Summary:
Energy relative to the elements, uncorrected: -0.214 eV/atom
Raw total energy: -5.4069 eV/atom
Theoretical density: 9430 kg/m³

# 4
DFT (PBE-GGA) results for a relaxed structure of Tb5Re2O12.

Cell and atoms, written as CIF:
```
data_Tb5Re2O12
_chemical_formula_sum 'Tb10 Re4 O24'
_cell_length_a 12.5331
_cell_length_b 5.6855
_cell_length_c 7.5989
_cell_angle_alpha 90.00
_cell_angle_beta 107.90
_cell_angle_gamma 90.00
_space_group_name_H-M_alt 'C 1 2/m 1'
_space_group_IT_number 12
_space_group_name_Hall '-C 2y'
loop_
_atom_site_label
_atom_site_type_symbol
_atom_site_fract_x
_atom_site_fract_y
_atom_site_fract_z
Tb1 Tb 0.0000 0.0000 0.0000
Tb2 Tb 0.1858 0.5000 0.3255
Tb3 Tb 0.1962 0.5000 0.8580
Re1 Re 0.0000 0.2142 0.5000
O1 O 0.0009 0.0000 0.2948
O2 O 0.0010 0.5000 0.6756
O3 O 0.1543 0.2520 0.0744
O4 O 0.1644 0.2519 0.5837
```

Summary:
Energy relative to the elements, uncorrected: -2.906 eV/atom
Raw total energy: -8.5663 eV/atom
Theoretical density: 8760 kg/m³

What is the theoretical density in the third record? 9430 kg/m³